# GGA+U Rb2HfFeF6, optimized geometry
data_Rb2HfFeF6
_chemical_formula_sum 'Rb4 Hf2 Fe2 F12'
_symmetry_space_group_name_H-M 'I 4/m m m'
_symmetry_Int_Tables_number 139
_symmetry_space_group_name_Hall '-I 4 2'
_cell_length_a 6.505
_cell_length_b 6.505
_cell_length_c 9.857
_cell_angle_alpha 90.00
_cell_angle_beta 90.00
_cell_angle_gamma 90.00
loop_
_atom_site_label
_atom_site_type_symbol
_atom_site_fract_x
_atom_site_fract_y
_atom_site_fract_z
Rb1 Rb 0.000 0.500 0.250
Hf1 Hf 0.000 0.000 0.000
Fe1 Fe 0.000 0.000 0.500
F1 F 0.000 0.000 0.204
F2 F 0.219 0.219 0.000
# M_tot, μB per atom: 0.36
# DOS at the Fermi energy, states/eV/cell: 6.76
# Final energy, eV/atom: -5.55